# 1
Material: Mg5Ga
Method: DFT, GGA-PBE
State: optimized geometry Values from VASP.

Structure (Quantum ESPRESSO input):
```
&SYSTEM
  ibrav = 0, nat = 6, ntyp = 2
/
ATOMIC_SPECIES
Mg 24.30 Mg.upf
Ga 69.72 Ga.upf
ATOMIC_POSITIONS angstrom
Mg 2.183 0.000 0.000
Mg 2.183 1.638 4.214
Mg 2.183 2.836 1.247
Mg 0.000 3.688 3.438
Mg 0.000 0.787 2.023
Ga 0.000 2.043 -0.794
CELL_PARAMETERS angstrom
4.366 0.000 0.000
0.000 4.085 -1.588
0.000 0.389 7.049
```

Its total energy is -1.8819 eV/atom. The formation energy is -0.29 eV/f.u. The value obtained for the polymorph energy (0 for the lowest one) is 0.005 eV/atom. The symmetry is Cmmm (65).


# 2
Material: NpPaGaMo
Method: DFT, GGA-PBE
State: optimized geometry Values from VASP.

Structure (Quantum ESPRESSO input):
```
&SYSTEM
  ibrav = 0, nat = 4, ntyp = 4
/
ATOMIC_SPECIES
Np 237.00 Np.upf
Ga 69.72 Ga.upf
Mo 95.94 Mo.upf
Pa 231.04 Pa.upf
ATOMIC_POSITIONS angstrom
Np -1.521 -5.841 -0.284
Ga -0.760 -2.921 -0.142
Mo -2.281 -8.762 -0.426
Pa 0.000 0.000 0.000
CELL_PARAMETERS angstrom
-1.661 -3.592 -2.947
1.630 -4.620 0.582
-3.011 -3.471 1.797
```

Its total energy is -8.8451 eV/atom. The formation energy is 0.91 eV/f.u. The symmetry is F-43m (216).


# 3
Material: BaGe3Se
Method: DFT, GGA-PBE
State: optimized geometry Values from VASP.

Structure (Quantum ESPRESSO input):
```
&SYSTEM
  ibrav = 0, nat = 5, ntyp = 3
/
ATOMIC_SPECIES
Ba 137.33 Ba.upf
Se 78.96 Se.upf
Ge 72.64 Ge.upf
ATOMIC_POSITIONS angstrom
Ba 0.000 0.000 0.000
Se -4.740 1.534 -1.021
Ge -2.197 -1.745 -0.866
Ge -0.742 1.956 -2.060
Ge -1.801 1.322 1.905
CELL_PARAMETERS angstrom
-1.484 3.913 -4.119
-4.394 -3.490 -1.732
-3.602 2.645 3.810
```

The value obtained for the energy relative to the elements, uncorrected is 1.44 eV/atom. Its total energy is -2.4111 eV/atom. The value obtained for the polymorph energy (0 for the lowest one) is 1.339 eV/atom. The symmetry is Pm-3m (221).


# 4
Material: Sc2PdPbI
Method: DFT, GGA-PBE
State: optimized geometry Values from VASP.

Structure (Quantum ESPRESSO input):
```
&SYSTEM
  ibrav = 0, nat = 5, ntyp = 4
/
ATOMIC_SPECIES
Sc 44.96 Sc.upf
Pb 207.20 Pb.upf
Pd 106.42 Pd.upf
I 126.90 I.upf
ATOMIC_POSITIONS angstrom
Sc 2.654 0.000 0.000
Sc 0.000 2.654 0.000
Pb 2.654 2.654 2.482
Pd 0.000 0.000 2.482
I 0.000 0.000 0.000
CELL_PARAMETERS angstrom
5.308 0.000 0.000
0.000 5.308 0.000
0.000 0.000 4.965
```

The value obtained for the energy relative to the elements, uncorrected is 0.17 eV/atom. Its total energy is -4.4495 eV/atom. The symmetry is P4/mmm (123).


# 5
Material: Na2Ca2Te
Method: DFT, GGA-PBE
State: optimized geometry Values from VASP.

Structure (Quantum ESPRESSO input):
```
&SYSTEM
  ibrav = 0, nat = 5, ntyp = 3
/
ATOMIC_SPECIES
Na 22.99 Na.upf
Ca 40.08 Ca.upf
Te 127.60 Te.upf
ATOMIC_POSITIONS angstrom
Na 4.135 2.068 5.054
Na 2.068 4.135 5.054
Ca 4.135 4.135 8.336
Ca 2.068 2.068 1.772
Te 0.000 0.000 0.000
CELL_PARAMETERS angstrom
4.135 0.000 0.000
0.000 4.135 0.000
2.068 2.068 10.108
```

The value obtained for the energy relative to the elements, uncorrected is -0.40 eV/atom. Its total energy is -2.3540 eV/atom. The value obtained for the polymorph energy (0 for the lowest one) is 0.000 eV/atom. The symmetry is I4/mmm (139).


# 6
Material: HfAsPbBr2
Method: DFT, GGA-PBE
State: optimized geometry Values from VASP.

Structure (Quantum ESPRESSO input):
```
&SYSTEM
  ibrav = 0, nat = 5, ntyp = 4
/
ATOMIC_SPECIES
Br 79.90 Br.upf
Pb 207.20 Pb.upf
As 74.92 As.upf
Hf 178.49 Hf.upf
ATOMIC_POSITIONS angstrom
Br 0.000 2.606 0.000
Br 2.606 0.000 0.000
Pb 2.606 2.606 2.672
As 0.000 0.000 2.672
Hf 0.000 0.000 0.000
CELL_PARAMETERS angstrom
5.212 0.000 0.000
0.000 5.212 0.000
0.000 0.000 5.344
```

The value obtained for the energy relative to the elements, uncorrected is -0.36 eV/atom. Its total energy is -4.6883 eV/atom. The value obtained for the polymorph energy (0 for the lowest one) is 0.000 eV/atom. The symmetry is P4/mmm (123).


# 7
Material: HfGaRu3
Method: DFT, GGA-PBE
State: optimized geometry Values from VASP.

Structure (Quantum ESPRESSO input):
```
&SYSTEM
  ibrav = 0, nat = 5, ntyp = 3
/
ATOMIC_SPECIES
Ru 101.07 Ru.upf
Ga 69.72 Ga.upf
Hf 178.49 Hf.upf
ATOMIC_POSITIONS angstrom
Ru 2.016 -1.192 0.442
Ru -1.255 -1.732 1.050
Ru 0.204 1.121 2.093
Ga 0.964 -1.803 3.585
Hf 0.000 0.000 0.000
CELL_PARAMETERS angstrom
-2.509 -3.465 2.100
4.031 -2.384 0.884
0.407 2.242 4.186
```

Its total energy is -6.6993 eV/atom. The formation energy is 7.31 eV/f.u. The value obtained for the polymorph energy (0 for the lowest one) is 0.852 eV/atom. The symmetry is Pm-3m (221).


# 8
Material: CoReSe4
Method: DFT, GGA-PBE
State: optimized geometry Values from VASP.

Structure (Quantum ESPRESSO input):
```
&SYSTEM
  ibrav = 0, nat = 6, ntyp = 3
/
ATOMIC_SPECIES
Co 58.93 Co.upf
Se 78.96 Se.upf
Re 186.21 Re.upf
ATOMIC_POSITIONS angstrom
Co -2.145 -4.605 -4.392
Se -0.018 -2.510 0.608
Se -1.528 -3.851 3.450
Se -1.885 -5.755 -0.590
Se -0.328 -3.677 -3.048
Re -0.352 -6.026 -2.580
CELL_PARAMETERS angstrom
-3.361 0.086 0.255
1.204 -4.549 -4.858
0.277 -3.412 4.794
```

The value obtained for the energy relative to the elements, uncorrected is -0.21 eV/atom. Its total energy is -5.7880 eV/atom. The value obtained for the polymorph energy (0 for the lowest one) is 0.000 eV/atom. The symmetry is Cm (8).


# 9
Material: HoMg6Zr
Method: DFT, GGA-PBE
State: optimized geometry Values from VASP.

Structure (Quantum ESPRESSO input):
```
&SYSTEM
  ibrav = 0, nat = 8, ntyp = 3
/
ATOMIC_SPECIES
Mg 24.30 Mg.upf
Ho 164.93 Ho.upf
Zr 91.22 Zr.upf
ATOMIC_POSITIONS angstrom
Mg -4.203 5.304 1.527
Mg -3.160 4.287 4.446
Mg -4.399 2.299 2.374
Mg -2.757 1.744 -0.230
Mg -1.713 0.728 2.689
Mg -2.882 -1.434 0.531
Ho 0.000 0.000 0.000
Zr -1.517 3.733 1.842
CELL_PARAMETERS angstrom
-3.926 -0.417 -2.388
-1.839 -2.450 3.450
-3.034 7.465 3.685
```

Its total energy is -2.8471 eV/atom. The formation energy is -0.08 eV/f.u. The symmetry is P4/mmm (123).


# 10
Material: Zr2InMo
Method: DFT, GGA-PBE
State: optimized geometry Values from VASP.

Structure (Quantum ESPRESSO input):
```
&SYSTEM
  ibrav = 0, nat = 4, ntyp = 3
/
ATOMIC_SPECIES
Zr 91.22 Zr.upf
Mo 95.94 Mo.upf
In 114.82 In.upf
ATOMIC_POSITIONS angstrom
Zr -7.232 -4.300 -2.373
Zr -3.915 -2.328 -1.285
Mo -3.133 0.076 1.138
In -1.451 -2.457 0.601
CELL_PARAMETERS angstrom
-5.398 0.324 -0.682
-2.034 -4.742 -1.756
2.847 2.037 4.177
```

Its total energy is -7.7266 eV/atom. The formation energy is -0.24 eV/f.u. The symmetry is Immm (71).


# 11
Material: LuVIr2
Method: DFT, GGA-PBE
State: optimized geometry Values from VASP.

Structure (Quantum ESPRESSO input):
```
&SYSTEM
  ibrav = 0, nat = 4, ntyp = 3
/
ATOMIC_SPECIES
Lu 174.97 Lu.upf
Ir 192.22 Ir.upf
V 50.94 V.upf
ATOMIC_POSITIONS angstrom
Lu 1.495 1.495 3.658
Ir 0.000 0.000 5.788
Ir 0.000 0.000 1.528
V 1.495 1.495 0.000
CELL_PARAMETERS angstrom
2.990 0.000 0.000
0.000 2.990 0.000
0.000 0.000 7.316
```

Its total energy is -8.4544 eV/atom. The formation energy is -2.46 eV/f.u. The value obtained for the polymorph energy (0 for the lowest one) is 0.000 eV/atom. The symmetry is P4/mmm (123).


# 12
Material: NbGeW3
Method: DFT, GGA-PBE
State: optimized geometry Values from VASP.

Structure (Quantum ESPRESSO input):
```
&SYSTEM
  ibrav = 0, nat = 5, ntyp = 3
/
ATOMIC_SPECIES
Ge 72.64 Ge.upf
W 183.84 W.upf
Nb 92.91 Nb.upf
ATOMIC_POSITIONS angstrom
Ge -1.904 -3.405 -1.457
W 0.310 -0.933 -2.195
W 0.164 -2.200 0.958
W -2.379 -0.273 -0.220
Nb 0.000 0.000 0.000
CELL_PARAMETERS angstrom
-4.758 -0.547 -0.441
0.621 -1.865 -4.389
0.328 -4.399 1.916
```

Its total energy is -8.3653 eV/atom. The formation energy is 11.72 eV/f.u. The value obtained for the polymorph energy (0 for the lowest one) is 0.847 eV/atom. The symmetry is Pm-3m (221).